# 1
Pm3Pr2Ho3 PBE relaxed; total DFT energy (no corrections) = -4.674 eV per atom; SG = Immm; ΔE to the lowest computed polymorph = 0.0 meV/atom; energy of formation from the pure elements = 19 meV per atom
1.0
5.117 0.000 0.000
0.000 5.127 0.000
0.000 0.000 20.427
Pm Pr Ho
6 4 6
direct
0.000 0.000 0.000
0.000 0.500 0.123
0.000 0.500 0.877
0.500 0.000 0.377
0.500 0.000 0.623
0.500 0.500 0.500
0.000 0.000 0.250
0.000 0.000 0.750
0.500 0.500 0.250
0.500 0.500 0.750
0.000 0.000 0.500
0.000 0.500 0.377
0.000 0.500 0.623
0.500 0.000 0.123
0.500 0.000 0.877
0.500 0.500 0.000

***

# 2
Pm6PrHo2 PBE relaxed; total DFT energy (no corrections) = -4.699 eV per atom; SG = P-1; ΔE to the lowest computed polymorph = 0.0 meV/atom; energy of formation from the pure elements = 16 meV per atom
1.0
3.636 0.000 0.000
-0.013 8.889 0.000
-1.817 -0.059 9.426
Pm Pr Ho
6 1 2
direct
0.110 0.164 0.220
0.221 0.835 0.442
0.333 0.501 0.666
0.667 0.499 0.334
0.779 0.165 0.558
0.890 0.836 0.780
0.000 0.500 0.000
0.445 0.165 0.889
0.555 0.835 0.111

***

# 3
Pm2PrHo2 PBE relaxed; total DFT energy (no corrections) = -4.639 eV per atom; SG = Immm; ΔE to the lowest computed polymorph = 0.0 meV/atom; energy of formation from the pure elements = 48 meV per atom
1.0
3.556 0.000 0.000
0.000 5.715 0.000
0.000 0.000 16.502
Pm Pr Ho
4 2 4
direct
0.000 0.000 0.213
0.000 0.000 0.787
0.500 0.500 0.287
0.500 0.500 0.713
0.000 0.500 0.500
0.500 0.000 0.000
0.000 0.500 0.099
0.000 0.500 0.901
0.500 0.000 0.401
0.500 0.000 0.599

***

# 4
Pm12PrHo7 PBE relaxed; total DFT energy (no corrections) = -4.020 eV per atom; SG = Im-3; ΔE to the lowest computed polymorph = 571.2 meV/atom; energy of formation from the pure elements = 672 meV per atom
1.0
-5.765 5.765 5.765
5.765 -5.765 5.765
5.765 5.765 -5.765
Pm Pr Ho
12 1 7
direct
0.002 0.746 0.255
0.254 0.255 0.509
0.254 0.745 0.998
0.255 0.002 0.746
0.255 0.509 0.254
0.491 0.746 0.745
0.509 0.254 0.255
0.745 0.491 0.746
0.745 0.998 0.254
0.746 0.255 0.002
0.746 0.745 0.491
0.998 0.254 0.745
0.000 0.000 0.000
0.000 0.000 0.500
0.000 0.500 0.000
0.000 0.500 0.500
0.500 0.000 0.000
0.500 0.000 0.500
0.500 0.500 0.000
0.500 0.500 0.500